Below is a relaxed CeErU2As4 crystal, with properties calculated at the PBE level.

Calculated values
- Energy of formation: -1.093 eV per atom
- Total moment: 5.75 μB per cell
- Uncorrected energy: -7.552 eV per atom

a = 7.083 Å, b = 4.088 Å, c = 7.228 Å
α = 90.00°, β = 109.06°, γ = 90.00°
Positions (direct):
Ce1 0.000 0.000 0.000
Er1 0.500 0.500 0.000
U1 0.000 0.500 0.500
U2 0.500 0.000 0.500
As1 0.253 0.000 0.748
As2 0.256 0.500 0.255
As3 0.744 0.500 0.745
As4 0.747 0.000 0.252